The following is a DFT calculation (GGA-PBE) of a relaxed PuGa4CuPd2 crystal.

Geometry as POSCAR:
```
PuGa4CuPd2
1.0
2.1524 1.2427 8.6470
-2.1524 1.2427 8.6470
0.0000 -2.4853 8.6470
Pu Ga Cu Pd
1 4 1 2
direct
0.0000 0.0000 0.0000
0.1296 0.1296 0.1296
0.3987 0.3987 0.3987
0.6013 0.6013 0.6013
0.8704 0.8704 0.8704
0.5000 0.5000 0.5000
0.2352 0.2352 0.2352
0.7648 0.7648 0.7648
```

## Properties
Energy relative to the elements = -0.397 eV/atom
Calculated total energy = -5.51 eV/atom
Magnetization = 5.56 μB/cell